## ZnSi2Tc2 (PBE)

Data for an optimized crystal structure of ZnSi2Tc2.

Calculated volume in Å³ per cell: 138.6
SG: No. 127
E_form (uncorrected) in kcal/mol of atoms: -5.9

Cell lengths 6.7713, 6.7713, 3.0232 Å; angles 90.00, 90.00, 90.00 degrees
Sites, in units of the cell vectors:
Si 0.8638 0.6362 0.0000
Si 0.3638 0.8638 0.0000
Si 0.1362 0.3638 0.0000
Si 0.6362 0.1362 0.0000
Tc 0.3427 0.1573 0.5000
Tc 0.1573 0.6573 0.5000
Tc 0.8427 0.3427 0.5000
Tc 0.6573 0.8427 0.5000
Zn 0.0000 0.0000 0.0000
Zn 0.5000 0.5000 0.0000